1.
ScTc2Te after structural relaxation, computed with PBE.

Space group ... P4/mmm
Density of states at the Fermi level ... 3.83 states/eV/cell

Cell lengths 3.370, 4.475, 4.475 Å; angles 90.00, 90.00, 90.00 degrees
Fractional positions:
1 Sc 0.500 0.000 0.500
2 Tc 0.000 0.000 0.000
3 Tc 0.000 0.500 0.500
4 Te 0.500 0.500 0.000

=====

2.
Sc2TcTe after structural relaxation, computed with PBE.

Space group ... R3m
Density of states at the Fermi level ... 5.39 states/eV/cell

Cell lengths 9.236, 9.236, 9.236 Å; angles 20.78, 20.78, 20.78 degrees
Last column: magnetic moment on the atom in μB.
Fractional positions:
1 Sc 0.004 0.004 0.004  0.18
2 Sc 0.239 0.239 0.239  0.08
3 Tc 0.496 0.496 0.496  0.00
4 Te 0.761 0.761 0.761  0.00

=====

3.
ScTc2Te after structural relaxation, computed with PBE.

Space group ... Cmmm
Density of states at the Fermi level ... 3.67 states/eV/cell

Cell lengths 3.084, 3.084, 8.431 Å; angles 90.00, 90.00, 113.54 degrees
Fractional positions:
1 Sc 0.500 0.500 0.750
2 Tc 0.000 0.000 0.006
3 Tc 0.000 0.000 0.494
4 Te 0.500 0.500 0.250

=====

4.
ScTc2Te after structural relaxation, computed with PBE.

Space group ... Pmm2
Density of states at the Fermi level ... 3.15 states/eV/cell

Cell lengths 3.135, 4.194, 5.363 Å; angles 90.00, 90.00, 90.00 degrees
Fractional positions:
1 Sc 0.500 0.500 0.761
2 Tc 0.000 0.000 0.013
3 Tc 0.500 0.500 0.232
4 Te 0.000 0.000 0.494

=====

5.
Sc2TcTe after structural relaxation, computed with PBE.

Space group ... P4mm
Density of states at the Fermi level ... 3.71 states/eV/cell

Cell lengths 3.308, 3.308, 7.731 Å; angles 90.00, 90.00, 90.01 degrees
Last column: magnetic moment on the atom in μB.
Fractional positions:
1 Sc 0.000 0.000 0.983  0.41
2 Sc 0.500 0.500 0.293  0.11
3 Tc 0.000 0.000 0.521  0.09
4 Te 0.500 0.500 0.704  0.00

=====

6.
Sc2TcTe after structural relaxation, computed with PBE.

Space group ... P4/mmm
Density of states at the Fermi level ... 0.90 states/eV/cell

Cell lengths 3.549, 3.551, 7.264 Å; angles 60.76, 90.00, 90.00 degrees
Fractional positions:
1 Sc 0.000 0.979 0.021
2 Sc 0.000 0.521 0.479
3 Tc 0.500 0.250 0.250
4 Te 0.500 0.750 0.750

=====

Number 1: ΔE_f (raw) -0.1105 eV/atom. Number 2: ΔE_f (raw) 0.0519 eV/atom. Number 3: ΔE_f (raw) 0.4332 eV/atom. Number 4: ΔE_f (raw) -0.0021 eV/atom. Number 5: ΔE_f (raw) -0.1405 eV/atom. Number 6: ΔE_f (raw) -0.5502 eV/atom.